Entry from the Alexandria database: a geometry-optimized LaNbN structure (PBE).

**Mass density**: 6.7 Mg/m³
**VASP energy**: -8.134 eV/atom
**Space group**: P4/nmm (129)
**E_form (uncorrected)**: -34.76 kJ per mole of atoms

```
6
Lattice="3.637 0.000 0.000 0.000 3.637 0.000 0.000 0.000 9.194" Properties=species:S:1:pos:R:3 pbc="T T T"
Nb 1.819 1.819 4.597
Nb 0.000 0.000 4.597
La 1.819 0.000 1.801
La 0.000 1.819 7.393
N 1.819 0.000 6.098
N 0.000 1.819 3.096
```